Entry 1:
Compound: Er2Mg2Hg3
Source: the Alexandria database
Functional: GGA-PBE
Structure: relaxed

The structure in extended XYZ format:
```
7
Lattice="1.773 -13.546 0.000 1.773 13.546 0.000 0.000 0.000 3.602" Properties=species:S:1:pos:R:3 pbc="T T T"
Er 1.773 11.629 0.000
Er 1.773 -11.629 0.000
Mg 1.773 8.057 0.000
Mg 1.773 -8.057 0.000
Hg 1.773 3.804 1.801
Hg 1.773 0.000 1.801
Hg 1.773 -3.804 1.801
```

## Properties
Space-group type   Cmmm, No. 65
Volume   173 Å³ per cell
DFT total energy   -2.176 eV per atom

---

Entry 2:
Compound: ErMgHg2
Source: the Alexandria database
Functional: GGA-PBE
Structure: relaxed

The structure in extended XYZ format:
```
4
Lattice="5.029 0.000 0.000 0.000 5.029 0.000 0.000 0.000 3.698" Properties=species:S:1:pos:R:3 pbc="T T T"
Er 0.000 0.000 0.000
Mg 2.515 2.515 0.000
Hg 0.000 2.515 1.849
Hg 2.515 0.000 1.849
```

## Properties
Space-group type   P4/mmm, No. 123
Volume   94 Å³ per cell
DFT total energy   -2.082 eV per atom
Energy relative to the lowest polymorph listed for this composition   51 meV per atom

---

Entry 3:
Compound: ErMg3Hg2
Source: the Alexandria database
Functional: GGA-PBE
Structure: relaxed

The structure in extended XYZ format:
```
12
Lattice="4.259 0.000 0.000 0.000 8.718 0.000 0.000 0.000 7.564" Properties=species:S:1:pos:R:3 pbc="T T T"
Er 0.000 0.681 0.000
Er 0.000 8.036 3.782
Mg 0.000 2.723 4.598
Mg 0.000 5.994 0.816
Mg 2.130 1.686 2.505
Mg 2.130 3.598 7.064
Mg 2.130 5.120 3.282
Mg 2.130 7.031 6.287
Hg 0.000 3.374 1.715
Hg 0.000 5.343 5.497
Hg 2.130 1.044 5.382
Hg 2.130 7.674 1.600
```

## Properties
Space-group type   Pmc2_1, No. 26
Volume   281 Å³ per cell
DFT total energy   -1.943 eV per atom
Energy relative to the lowest polymorph listed for this composition   0 meV per atom

---

Entry 4:
Compound: Er2MgHg
Source: the Alexandria database
Functional: GGA-PBE
Structure: relaxed

The structure in extended XYZ format:
```
4
Lattice="3.760 0.000 0.000 0.000 3.760 0.000 0.000 0.000 7.281" Properties=species:S:1:pos:R:3 pbc="T T T"
Er 0.000 0.000 1.782
Er 0.000 0.000 5.500
Mg 1.880 1.880 3.641
Hg 1.880 1.880 0.000
```

## Properties
Space-group type   P4/mmm, No. 123
Volume   103 Å³ per cell
DFT total energy   -3.030 eV per atom
Energy relative to the lowest polymorph listed for this composition   0 meV per atom

---

no.,energy of formation (kJ per mole of atoms)
1,-27.75
2,-37.75
3,-27.48
4,-26.47